[1]
4
Lattice="-2.302 2.601 1.549 -1.357 -3.430 -0.926 1.885 -2.748 7.415" Properties=species:S:1:pos:R:3 comment="CaNi | the Alexandria database | PBE | relaxed" n_ef_per_ev_fu=2.7 energy_ev_per_atom=-3.720 space_group=P-3m1 pbc="T T T"
Ni -0.735 -1.235 5.650
Ni 1.104 -1.610 4.344
Ca 1.731 -2.524 6.810
Ca -1.362 -0.321 3.183

=====

[2]
4
Lattice="3.976 0.000 0.003 1.988 3.444 0.000 1.985 -1.145 7.297" Properties=species:S:1:pos:R:3 comment="CaNi | the Alexandria database | PBE | relaxed" n_ef_per_ev_fu=1.7 energy_ev_per_atom=-4.050 space_group=R-3m pbc="T T T"
Ca 0.957 0.389 1.030
Ni 4.929 0.393 6.430
Ca 4.930 2.688 4.539
Ni 6.916 1.541 6.440

=====

[3]
6
Lattice="3.061 -4.026 0.519 4.691 -1.928 0.349 0.976 -0.263 6.123" Properties=species:S:1:pos:R:3 comment="CaNi5 | the Alexandria database | PBE | relaxed" n_ef_per_ev_fu=11.0 energy_ev_per_atom=-4.948 space_group=Cm pbc="T T T"
Ni 8.018 -5.881 4.325
Ni 2.891 -2.042 2.528
Ni 5.178 -3.837 2.312
Ni 2.875 -1.747 6.020
Ca 7.613 -5.845 0.878
Ni 5.907 -4.217 4.617

=====

[4]
6
Lattice="-5.951 -0.250 -1.995 -4.734 -3.627 -1.973 -3.843 -1.360 3.822" Properties=species:S:1:pos:R:3 comment="CaNi2 | the Alexandria database | PBE | relaxed" n_ef_per_ev_fu=4.6 energy_ev_per_atom=-4.472 space_group=Immm pbc="T T T"
Ni -2.652 -0.948 1.081
Ni -11.877 -4.288 -1.228
Ca -5.038 -1.799 2.463
Ni -8.079 -2.906 0.741
Ni -6.449 -2.330 -0.888
Ca -9.491 -3.437 -2.610

=====

[5]
5
Lattice="-2.502 3.144 -1.244 -2.873 -2.663 -0.953 -1.365 1.860 7.448" Properties=species:S:1:pos:R:3 comment="Ca3Ni2 | the Alexandria database | PBE | relaxed" n_ef_per_ev_fu=3.2 energy_ev_per_atom=-3.629 space_group=Cmmm pbc="T T T"
Ni -3.865 0.462 1.832
Ca -3.371 -0.967 4.337
Ca -2.687 0.240 -1.098
Ca -0.868 0.164 2.159
Ni -2.875 1.878 3.420

=====

[6]
3
Lattice="-1.028 1.904 4.919 -4.688 1.398 2.222 2.508 -3.796 -2.859" Properties=species:S:1:pos:R:3 comment="CaNi2 | the Alexandria database | PBE | relaxed" n_ef_per_ev_fu=2.7 energy_ev_per_atom=-4.437 space_group=Immm pbc="T T T"
Ca 0.000 0.000 0.000
Ni -1.640 0.948 2.049
Ni -4.076 2.355 5.092

=====

[7]
7
Lattice="-1.251 5.073 1.619 -1.844 -4.305 2.825 4.936 0.127 3.416" Properties=species:S:1:pos:R:3 comment="Ca4Ni3 | the Alexandria database | PBE | relaxed" n_ef_per_ev_fu=6.3 energy_ev_per_atom=-3.414 space_group=P6/mmm pbc="T T T"
Ca 1.019 2.010 3.729
Ni -0.626 2.536 0.809
Ca 3.821 0.099 2.644
Ni -1.547 0.384 2.222
Ca 1.115 0.029 0.772
Ni -0.922 -2.153 1.413
Ca 0.822 -1.116 4.131

=====

[8]
2
Lattice="-1.391 -3.812 0.792 -1.141 -2.685 -2.930 2.098 -3.446 -0.903" Properties=species:S:1:pos:R:3 comment="CaNi | the Alexandria database | PBE | relaxed" n_ef_per_ev_fu=2.6 energy_ev_per_atom=-3.618 space_group=R-3m pbc="T T T"
Ni -0.217 -4.972 -1.520
Ca 0.000 0.000 0.000

=====

[9]
8
Lattice="5.752 0.000 0.000 0.000 5.752 0.000 0.000 0.000 5.539" Properties=species:S:1:pos:R:3 comment="CaNi | the Alexandria database | PBE | relaxed" n_ef_per_ev_fu=1.8 energy_ev_per_atom=-3.703 space_group=P4_2/mnm pbc="T T T"
Ca 1.136 1.136 2.769
Ca 1.740 4.013 0.000
Ni 4.907 4.907 0.000
Ni 3.722 2.031 2.769
Ca 4.616 4.616 2.769
Ca 4.013 1.740 0.000
Ni 0.845 0.845 0.000
Ni 2.031 3.722 2.769

=====

[10]
6
Lattice="-0.440 2.456 -2.776 -3.750 -0.266 0.359 1.929 4.336 3.530" Properties=species:S:1:pos:R:3 comment="CaNi5 | the Alexandria database | PBE | relaxed" n_ef_per_ev_fu=9.4 energy_ev_per_atom=-5.008 space_group=Cmmm pbc="T T T"
Ni -2.095 1.095 -1.209
Ni 0.035 2.691 2.375
Ni -0.200 2.763 -0.033
Ca 0.000 0.000 0.000
Ni -1.856 1.379 1.514
Ni -2.061 3.763 1.146

=====

[11]
19
Lattice="-4.826 -3.838 1.143 2.283 -4.989 -3.038 2.484 -2.846 5.006" Properties=species:S:1:pos:R:3 comment="Ca2Ni17 | the Alexandria database | PBE | relaxed" n_ef_per_ev_fu=29.0 energy_ev_per_atom=-5.438 space_group=R-3m pbc="T T T"
Ni -1.295 -6.218 -0.490
Ni 0.217 -4.654 -1.823
Ni -0.054 -10.526 2.805
Ca -0.020 -3.999 1.066
Ni 2.425 -3.469 2.668
Ni 2.341 -4.366 -0.700
Ni 0.359 -3.134 3.883
Ca -0.039 -7.674 2.045
Ni 2.401 -5.716 1.463
Ni -2.701 -3.550 2.266
Ni -1.193 -5.135 3.576
Ni 1.242 -1.423 2.503
Ni -2.413 -1.919 0.572
Ni -2.760 -4.173 -0.072
Ni -0.006 -1.147 0.306
Ni 1.141 -2.494 -1.519
Ni -2.460 -5.957 1.648
Ni 1.235 -5.455 3.601
Ni 1.133 -6.538 -0.466

=====

[12]
9
Lattice="-3.906 3.906 1.829 3.906 -3.906 1.829 3.906 3.906 -1.829" Properties=species:S:1:pos:R:3 comment="CaNi8 | the Alexandria database | PBE | relaxed" n_ef_per_ev_fu=16.8 energy_ev_per_atom=-5.240 space_group=I4/mmm pbc="T T T"
Ni 0.000 5.124 0.000
Ni 5.124 0.000 0.000
Ni -1.428 1.428 1.829
Ni 2.687 0.000 0.000
Ni 1.428 1.428 1.829
Ni 1.428 -1.428 1.829
Ni 0.000 2.687 0.000
Ni 2.477 2.477 0.000
Ca 0.000 0.000 0.000